A plane-wave DFT calculation with GGA-PBE was carried out for a relaxed structure of Sm6CoOs2Cl3.

Values from the calculation:
formation energy without anion corrections: -74.7 kJ per mole of atoms
final energy: -6.06 eV/atom
volume: 25.9 Å³/atom

Unit cell a=6.8805 b=6.8805 c=7.9230 alpha=98.08 beta=98.08 gamma=120.26
Sites, in units of the cell vectors:
Sm (0.9244, 0.6019, 0.7863)
Sm (0.7299, 0.7299, 0.1893)
Sm (0.0756, 0.3981, 0.2137)
Sm (0.6019, 0.9244, 0.7863)
Sm (0.2701, 0.2701, 0.8107)
Sm (0.3981, 0.0756, 0.2137)
Co (0.0000, 0.0000, 0.0000)
Os (0.3230, 0.6770, 0.0000)
Os (0.6770, 0.3230, 0.0000)
Cl (0.1672, 0.8328, 0.5000)
Cl (0.8328, 0.1672, 0.5000)
Cl (0.5000, 0.5000, 0.5000)

A plane-wave DFT calculation with GGA-PBE was carried out for a relaxed structure of Na12InPb7.

Values from the calculation:
ΔE_f: -0.056 eV per atom
final energy: -2.28 eV/atom
volume: 30.2 Å³/atom

Unit cell a=8.4510 b=8.4510 c=8.4510 alpha=90.05 beta=90.05 gamma=90.05
Sites, in units of the cell vectors:
Na (0.8743, 0.2571, 0.7458)
Na (0.7429, 0.2542, 0.1257)
Na (0.6139, 0.1481, 0.4932)
Na (0.8519, 0.5068, 0.3861)
Na (0.2542, 0.1257, 0.7429)
Na (0.5068, 0.3861, 0.8519)
Na (0.4932, 0.6139, 0.1481)
Na (0.7458, 0.8743, 0.2571)
Na (0.1481, 0.4932, 0.6139)
Na (0.3861, 0.8519, 0.5068)
Na (0.2571, 0.7458, 0.8743)
Na (0.1257, 0.7429, 0.2542)
In (0.0000, 0.0000, 0.0000)
Pb (0.8460, 0.6257, 0.9349)
Pb (0.3743, 0.0651, 0.1540)
Pb (0.0651, 0.1540, 0.3743)
Pb (0.5000, 0.5000, 0.5000)
Pb (0.9349, 0.8460, 0.6257)
Pb (0.6257, 0.9349, 0.8460)
Pb (0.1540, 0.3743, 0.0651)

A plane-wave DFT calculation with GGA-PBE was carried out for a relaxed structure of Zr3ScRu4.

Values from the calculation:
ΔE_f: -0.667 eV per atom
final energy: -9.30 eV/atom
volume: 17.3 Å³/atom

Unit cell a=3.2673 b=4.6107 c=9.2094 alpha=90.00 beta=90.00 gamma=90.00
Sites, in units of the cell vectors:
Sc (0.5000, 0.5000, 0.0000)
Ru (0.0000, 0.0000, 0.5000)
Ru (0.0000, 0.5000, 0.7478)
Ru (0.0000, 0.0000, 0.0000)
Ru (0.0000, 0.5000, 0.2522)
Zr (0.5000, 0.0000, 0.2451)
Zr (0.5000, 0.5000, 0.5000)
Zr (0.5000, 0.0000, 0.7549)

A plane-wave DFT calculation with GGA-PBE was carried out for a relaxed structure of RbSc3Sn.

Values from the calculation:
distance to the lowest polymorph of the same formula: 850.9 meV/atom
ΔE_f: 1.296 eV per atom
final energy: -3.50 eV/atom
volume: 26.1 Å³/atom

Unit cell a=5.0705 b=5.0705 c=5.0705 alpha=90.00 beta=90.00 gamma=90.00
Sites, in units of the cell vectors:
Sc (0.0000, 0.5000, 0.0000)
Sc (0.0000, 0.0000, 0.5000)
Sc (0.5000, 0.0000, 0.0000)
Sn (0.5000, 0.5000, 0.5000)
Rb (0.0000, 0.0000, 0.0000)

| no. | total magnetic moment (μB/f.u.) |
| --- | --- |
| 1 | 0.00 |
| 2 | 0.00 |
| 3 | 0.00 |
| 4 | 0.00 |